(1)
This record from Alexandria describes a PBEsol-optimized structure of SrBi3I3O4. The functional is meta-GGA SCAN.

Lattice parameters (Å, degrees): 4.0153 4.0153 31.6478 90.00 90.00 90.00
Space group I4mm (No. 107)
Asymmetric unit:
Sr: 0.0000 0.0000 0.0000 [2 per cell]
Bi: 0.0000 0.0000 0.2959 [2 per cell]
Bi: 0.0000 0.0000 0.5755 [2 per cell]
Bi: 0.0000 0.0000 0.7193 [2 per cell]
I: 0.0000 0.0000 0.1586 [2 per cell]
I: 0.0000 0.0000 0.4407 [2 per cell]
I: 0.0000 0.0000 0.8494 [2 per cell]
O: 0.0000 0.5000 0.0455 [4 per cell]
O: 0.0000 0.5000 0.2556 [4 per cell]

Output
ΔE_f (raw): -30.140 kcal/mol of atoms
Density: 7.55 g/cm3
M_tot: 0.00 μB/f.u.

(2)
This record from Alexandria describes a PBEsol-optimized structure of Ba4CeRu3O12. The functional is meta-GGA SCAN.

Lattice parameters (Å, degrees): 10.1330 5.8487 10.4766 90.00 110.84 90.00
Space group C2/m (No. 12)
Asymmetric unit:
Ba: 0.1302 0.0000 0.3913 [4 per cell]
Ba: 0.2222 0.5000 0.1498 [4 per cell]
Ce: 0.0000 0.0000 0.0000 [2 per cell]
Ru: 0.0000 0.5000 0.5000 [2 per cell]
Ru: 0.0765 0.5000 0.7565 [4 per cell]
O: 0.0252 0.2616 0.8598 [8 per cell]
O: 0.1183 0.2686 0.6325 [8 per cell]
O: 0.1202 0.5000 0.3847 [4 per cell]
O: 0.2304 0.0000 0.1131 [4 per cell]

Output
ΔE_f (raw): -55.543 kcal/mol of atoms
Density: 6.78 g/cm3
M_tot: 4.04 μB/f.u.

(3)
This record from Alexandria describes a PBEsol-optimized structure of CdSbPb2Au. The functional is meta-GGA SCAN.

Lattice parameters (Å, degrees): 5.5169 5.5169 5.2945 90.00 90.00 90.00
Space group P4/mmm (No. 123)
Asymmetric unit:
Cd: 0.0000 0.0000 0.0000 [1 per cell]
Sb: 0.0000 0.0000 0.5000 [1 per cell]
Pb: 0.0000 0.5000 0.0000 [2 per cell]
Au: 0.5000 0.5000 0.5000 [1 per cell]

Output
ΔE_f (raw): 16.773 kcal/mol of atoms
Density: 8.71 g/cm3
M_tot: 0.00 μB/f.u.

- The lowest ΔE_f (raw) belongs to which entry?
  Ba4CeRu3O12

- What is the density in the first record?
  7.55 g/cm3

- Which value of density does entry 2 give?
  6.78 g/cm3